No. 1
# Li2TaMo

Li2TaMo after structural relaxation (PBEsol, Alexandria).

Cell: 2.503 4.434 5.887 Å, 90.00 90.00 90.00°
Fractional coordinates of all 4 atoms:
1 Li 0.000 0.000 0.000
2 Li 0.500 0.500 0.233
3 Ta 0.500 0.500 0.720
4 Mo 0.000 0.000 0.505

The total energy is -26.52 eV for the cell shown. The value obtained for the formation energy is 0.4329 eV per atom. The calculation puts the polymorph energy (0 for the lowest one) at 0.064 eV per atom. The total moment comes out at 0.000 μB/atom.

***

No. 2
# LiTaMo2

LiTaMo2 after structural relaxation (PBEsol, Alexandria).

Cell: 3.182 3.182 5.910 Å, 90.00 90.00 90.00°
Fractional coordinates of all 4 atoms:
1 Li 0.000 0.000 0.000
2 Ta 0.500 0.500 0.748
3 Mo 0.000 0.000 0.481
4 Mo 0.500 0.500 0.236

The total energy is -36.78 eV for the cell shown. The value obtained for the formation energy is 0.3175 eV per atom. The calculation puts the polymorph energy (0 for the lowest one) at 0.000 eV per atom. The total moment comes out at 0.000 μB/atom.

***

No. 3
# LiTaMo2

LiTaMo2 after structural relaxation (PBEsol, Alexandria).

Cell: 3.261 4.240 4.349 Å, 90.00 90.00 90.00°
Fractional coordinates of all 4 atoms:
1 Li 0.000 0.000 0.000
2 Ta 0.500 0.500 0.000
3 Mo 0.000 0.500 0.500
4 Mo 0.500 0.000 0.500

The total energy is -36.69 eV for the cell shown. The value obtained for the formation energy is 0.3401 eV per atom. The calculation puts the polymorph energy (0 for the lowest one) at 0.023 eV per atom. The total moment comes out at 0.000 μB/atom.

***

No. 4
# LiTc2Mo

LiTc2Mo after structural relaxation (PBEsol, Alexandria).

Cell: 3.130 3.130 5.499 Å, 90.00 90.00 90.00°
Fractional coordinates of all 4 atoms:
1 Li 0.000 0.000 0.000
2 Tc 0.500 0.500 0.231
3 Tc 0.500 0.500 0.769
4 Mo 0.000 0.000 0.500

The total energy is -35.08 eV for the cell shown. The value obtained for the formation energy is 0.2971 eV per atom. The calculation puts the polymorph energy (0 for the lowest one) at 0.025 eV per atom. The total moment comes out at 0.000 μB/atom.

***

Question: Which formula does entry 1 have?
Answer: Li2TaMo